Density functional theory data (PBE) for crystalline KBaSr2Cd at its relaxed geometry.

The structure in CIF format:
```
data_KBaSr2Cd
_cell_length_a 6.5829
_cell_length_b 6.5829
_cell_length_c 6.7315
_cell_angle_alpha 90.00
_cell_angle_beta 90.00
_cell_angle_gamma 90.00
_symmetry_space_group_name_H-M 'P 4/m m m'
_symmetry_Int_Tables_number 123
_symmetry_space_group_name_Hall '-P 4 2'
loop_
_atom_site_label
_atom_site_type_symbol
_atom_site_fract_x
_atom_site_fract_y
_atom_site_fract_z
K1 K 0.0000 0.0000 0.0000
Ba1 Ba 0.5000 0.5000 0.0000
Sr1 Sr 0.0000 0.5000 0.5000
Cd1 Cd 0.5000 0.5000 0.5000
```

Magnetization (Bohr magnetons per cell): 0.0
E (eV for the cell shown): -7.4
DOS at the Fermi energy (states/eV per cell): 4.75
Formation energy (eV/f.u.): -0.10
Excess energy over the best structure of this formula in the dataset (meV per atom): 0